Record 1
A plane-wave DFT calculation with PBE was carried out for Cs3LiPb4 after structural relaxation.

Calculated values
- Energy of formation from the pure elements: -0.256 eV/atom
- SG: Pmmn (59)

Unit cell a=7.1088 b=7.4656 c=14.2118 alpha=90.00 beta=90.00 gamma=90.00
Last column: nearest neighbours and their distance in Å.
Atoms (fractional coordinates):
Cs  0.5461  0.0000  0.0000  2 Li 3.87, 4 Pb 4.09-4.16
Cs  0.4539  0.5000  0.5000  2 Li 3.87, 4 Pb 4.09-4.16
Cs  0.8299  0.5000  0.7442  1 Li 3.77, 4 Pb 4.06-4.16
Cs  0.8299  0.5000  0.2558  1 Li 3.77, 4 Pb 4.06-4.16
Cs  0.1701  0.0000  0.7558  1 Li 3.77, 4 Pb 4.06-4.16
Cs  0.1701  0.0000  0.2442  1 Li 3.77, 4 Pb 4.06-4.16
Pb  0.3346  0.5000  0.8869  1 Li 2.99, 3 Pb 3.10-3.21
Pb  0.3346  0.5000  0.1131  1 Li 2.99, 3 Pb 3.10-3.21
Pb  0.0404  0.2806  0.0000  1 Li 2.99, 3 Pb 3.10-3.28
Pb  0.0404  0.7194  0.0000  1 Li 2.99, 3 Pb 3.10-3.28
Pb  0.9596  0.7806  0.5000  1 Li 2.99, 3 Pb 3.10-3.28
Pb  0.9596  0.2194  0.5000  1 Li 2.99, 3 Pb 3.10-3.28
Pb  0.6654  0.0000  0.3869  1 Li 2.99, 3 Pb 3.10-3.21
Pb  0.6654  0.0000  0.6131  1 Li 2.99, 3 Pb 3.10-3.21
Li  0.6886  0.5000  0.0000  4 Pb 2.99
Li  0.3114  0.0000  0.5000  4 Pb 2.99

***

Record 2
A plane-wave DFT calculation with PBE was carried out for HfV2ZnCu after structural relaxation.

Calculated values
- Energy of formation from the pure elements: 1.671 eV/atom
- SG: P4/mmm (123)
- DOS at the Fermi energy: 6.5 states/eV/f.u.

Unit cell a=4.6007 b=4.6007 c=5.0323 alpha=90.00 beta=90.00 gamma=90.00
Last column: nearest neighbours and their distance in Å.
Atoms (fractional coordinates):
Zn  0.0000  0.0000  0.5000  2 Hf 2.52
Hf  0.0000  0.0000  0.0000  4 V 2.30, 2 Zn 2.52
Cu  0.5000  0.5000  0.5000  4 Zn 3.25, 8 V 3.41
V  0.0000  0.5000  0.0000  2 Hf 2.30
V  0.5000  0.0000  0.0000  2 Hf 2.30

***

Record 3
A plane-wave DFT calculation with PBE was carried out for TlZn2Mo after structural relaxation.

Calculated values
- Energy of formation from the pure elements: 0.442 eV/atom
- SG: Pmm2 (25)
- DOS at the Fermi energy: 2.4 states/eV/f.u.

Unit cell a=2.9536 b=3.6742 c=6.5617 alpha=90.00 beta=90.00 gamma=90.00
Last column: nearest neighbours and their distance in Å.
Atoms (fractional coordinates):
Mo  0.0000  0.0000  0.4557  5 Zn 2.68-2.72, 2 Mo 2.95
Tl  0.5000  0.5000  0.7473  2 Tl 2.95, 4 Mo 3.04, 6 Zn 3.07-3.30
Zn  0.0000  0.0000  0.0468  1 Mo 2.68, 6 Zn 2.71-2.95
Zn  0.5000  0.5000  0.2502  6 Zn 2.71-2.95, 4 Mo 2.72

***

Record 4
A plane-wave DFT calculation with PBE was carried out for CaHoBiPb after structural relaxation.

Calculated values
- Energy of formation from the pure elements: -0.481 eV/atom
- SG: F-43m (216)
- DOS at the Fermi energy: 4.1 states/eV/f.u.

Unit cell a=5.5365 b=5.5365 c=5.5365 alpha=60.00 beta=60.00 gamma=60.00
Last column: nearest neighbours and their distance in Å.
Atoms (fractional coordinates):
Pb  0.2500  0.2500  0.2500  4 Ho 3.39, 4 Ca 3.39
Ca  0.0000  0.0000  0.0000  4 Bi 3.39, 4 Pb 3.39
Bi  0.7500  0.7500  0.7500  4 Ho 3.39, 4 Ca 3.39
Ho  0.5000  0.5000  0.5000  4 Pb 3.39, 4 Bi 3.39

***

Record 5
A plane-wave DFT calculation with PBE was carried out for LiReRh2 after structural relaxation.

Calculated values
- Energy of formation from the pure elements: 0.275 eV/atom
- SG: F-43m (216)
- DOS at the Fermi energy: 6.5 states/eV/f.u.

Unit cell a=4.2674 b=4.2674 c=4.2674 alpha=60.00 beta=60.00 gamma=60.00
Last column: nearest neighbours and their distance in Å.
Atoms (fractional coordinates):
Li  0.5000  0.5000  0.5000  4 Re 2.61, 4 Rh 2.61
Re  0.2500  0.2500  0.2500  4 Li 2.61, 4 Rh 2.61
Rh  0.0000  0.0000  0.0000  4 Rh 2.61, 4 Re 2.61
Rh  0.7500  0.7500  0.7500  4 Rh 2.61, 4 Li 2.61

***

Record 6
A plane-wave DFT calculation with PBE was carried out for Na5TlI6 after structural relaxation.

Calculated values
- SG: C2/m (12)
- Formation energy from raw total energies: -1.15 eV per atom
- DOS at the Fermi energy: 0.0 states/eV/f.u.

Unit cell a=8.1269 b=8.1396 c=8.1402 alpha=60.00 beta=80.36 gamma=70.43
Last column: nearest neighbours and their distance in Å.
Atoms (fractional coordinates):
I  0.7430  0.0872  0.3492  5 Na 3.21-3.36, 1 Tl 3.46
I  0.2570  0.5637  0.3492  5 Na 3.21-3.36, 1 Tl 3.46
I  0.2609  0.2619  0.0000  5 Na 3.17-3.33, 1 Tl 3.47
I  0.7391  0.7381  0.0000  5 Na 3.17-3.33, 1 Tl 3.47
I  0.7430  0.4363  0.6508  5 Na 3.21-3.36, 1 Tl 3.46
I  0.2570  0.9128  0.6508  5 Na 3.21-3.36, 1 Tl 3.46
Na  0.5000  0.1632  0.6736  6 I 3.21-3.36
Na  0.0000  0.3321  0.3359  6 I 3.29-3.33
Na  0.5000  0.5000  0.0000  6 I 3.17-3.34
Na  0.0000  0.6679  0.6641  6 I 3.29-3.33
Na  0.5000  0.8368  0.3264  6 I 3.21-3.36
Tl  0.0000  0.0000  0.0000  6 I 3.46-3.47

***

Record 7
A plane-wave DFT calculation with PBE was carried out for Bi3IrSe after structural relaxation.

Calculated values
- SG: Pm-3m (221)
- Formation energy from raw total energies: 0.49 eV per atom
- DOS at the Fermi energy: 5.3 states/eV/f.u.

Unit cell a=5.3651 b=5.3651 c=5.3651 alpha=90.00 beta=90.00 gamma=90.00
Last column: nearest neighbours and their distance in Å.
Atoms (fractional coordinates):
Ir  0.0000  0.0000  0.0000  6 Bi 2.68
Bi  0.0000  0.5000  0.0000  2 Ir 2.68
Bi  0.0000  0.0000  0.5000  2 Ir 2.68
Bi  0.5000  0.0000  0.0000  2 Ir 2.68
Se  0.5000  0.5000  0.5000  12 Bi 3.79

***

Record 8
A plane-wave DFT calculation with PBE was carried out for KMnI2N after structural relaxation.

Calculated values
- SG: P4/mmm (123)
- Formation energy from raw total energies: 1.04 eV per atom
- DOS at the Fermi energy: 3.7 states/eV/f.u.

Unit cell a=6.5085 b=6.5085 c=5.1160 alpha=90.00 beta=90.00 gamma=90.00
Last column: nearest neighbours and their distance in Å.
Atoms (fractional coordinates):
I  0.0000  0.5000  0.0000  2 K 3.25
I  0.5000  0.0000  0.0000  2 K 3.25
K  0.0000  0.0000  0.0000  2 N 2.56
Mn  0.5000  0.5000  0.5000  8 I 4.14, 4 N 4.60
N  0.0000  0.0000  0.5000  2 K 2.56

***

Record 9
A plane-wave DFT calculation with PBE was carried out for ZrTl2Tc after structural relaxation.

Calculated values
- Energy of formation from the pure elements: 0.305 eV/atom
- SG: C2/m (12)
- DOS at the Fermi energy: 3.0 states/eV/f.u.

Unit cell a=5.2509 b=5.2509 c=5.0224 alpha=75.73 beta=75.73 gamma=38.82
Last column: nearest neighbours and their distance in Å.
Atoms (fractional coordinates):
Tc  0.2500  0.2500  0.2500  6 Tl 2.93-3.10, 4 Zr 3.06
Tl  0.9893  0.9893  0.0165  3 Tc 2.93-3.10, 4 Tl 2.97-3.16, 3 Zr 3.01-3.11
Tl  0.5107  0.5107  0.4835  3 Tc 2.93-3.10, 4 Tl 2.97-3.16, 3 Zr 3.01-3.11
Zr  0.7500  0.7500  0.7500  6 Tl 3.01-3.11, 4 Tc 3.06

***

Record 10
A plane-wave DFT calculation with PBE was carried out for U2SbPd8 after structural relaxation.

Calculated values
- SG: C2/m (12)
- Formation energy from raw total energies: -0.32 eV per atom
- DOS at the Fermi energy: 16.8 states/eV/f.u.

Unit cell a=5.1632 b=7.5527 c=7.9838 alpha=61.77 beta=71.79 gamma=48.64
Last column: nearest neighbours and their distance in Å.
Atoms (fractional coordinates):
U  0.0000  0.3186  0.3628  10 Pd 2.83-3.13
U  0.0000  0.6814  0.6372  10 Pd 2.83-3.13
Sb  0.5000  0.0000  0.0000  4 Pd 2.70-2.72
Pd  0.7991  0.1038  0.2736  6 Pd 2.71-2.98, 2 U 2.83-2.90
Pd  0.7991  0.3774  0.7264  6 Pd 2.71-2.98, 2 U 2.83-2.90
Pd  0.3110  0.4300  0.0000  6 Pd 2.64-2.89, 1 Sb 2.70, 2 U 2.87
Pd  0.5000  0.8069  0.3862  1 Sb 2.72, 4 Pd 2.82-2.89, 2 U 2.84
Pd  0.5000  0.1931  0.6138  1 Sb 2.72, 4 Pd 2.82-2.89, 2 U 2.84
Pd  0.6890  0.5700  0.0000  6 Pd 2.64-2.89, 1 Sb 2.70, 2 U 2.87
Pd  0.2009  0.6226  0.2736  6 Pd 2.71-2.98, 2 U 2.83-2.90
Pd  0.2009  0.8962  0.7264  6 Pd 2.71-2.98, 2 U 2.83-2.90

***

no.,total moment (Bohr magnetons per cell),theoretical density (g/cm3)
1,0.0,5.4
2,0.7,6.4
3,0.0,10.1
4,0.0,8.6
5,0.0,12.1
6,0.0,4.1
7,0.0,9.7
8,8.8,2.8
9,0.0,11.9
10,3.7,11.7